# 1
# CdMoRu2 (PBE, relaxed)
# Fermi-level density of states in states/eV per cell: 25.3
# Total magnetic moment in μB/cell: 6.56
# Raw total energy in eV/cell: -111.16
data_CdMoRu2
_cell_length_a 6.3491
_cell_length_b 6.3491
_cell_length_c 6.3491
_cell_angle_alpha 90.00
_cell_angle_beta 90.00
_cell_angle_gamma 90.00
_space_group_name_H-M_alt 'F -4 3 m'
_space_group_IT_number 216
_space_group_name_Hall 'F -4 2 3'
loop_
_atom_site_label
_atom_site_type_symbol
_atom_site_fract_x
_atom_site_fract_y
_atom_site_fract_z
Cd1 Cd 0.0000 0.0000 0.0000
Mo1 Mo 0.2500 0.2500 0.2500
Ru1 Ru 0.0000 0.0000 0.5000
Ru2 Ru 0.2500 0.2500 0.7500



# 2
# Dy2TaN3 (PBE, relaxed)
# Fermi-level density of states in states/eV per cell: 23.1
# Total magnetic moment in μB/cell: 0.00
# Raw total energy in eV/cell: -879.21
data_Dy2TaN3
_cell_length_a 6.6724
_cell_length_b 9.4158
_cell_length_c 19.8448
_cell_angle_alpha 90.00
_cell_angle_beta 90.00
_cell_angle_gamma 90.00
_space_group_name_H-M_alt 'F d d d'
_space_group_IT_number 70
loop_
_space_group_symop_operation_xyz
'x,y,z'
'-x,-y,-z'
'-x+1/4,-y+1/4,z'
'x+1/4,y+1/4,-z'
'x,-y+1/4,-z+1/4'
'-x,y+1/4,z+1/4'
'-x+1/4,y,-z+1/4'
'x+1/4,-y,z+1/4'
'x,y+1/2,z+1/2'
'-x,-y+1/2,-z+1/2'
'-x+1/4,-y+3/4,z+1/2'
'x+1/4,y+3/4,-z+1/2'
'x,-y+3/4,-z+3/4'
'-x,y+3/4,z+3/4'
'-x+1/4,y+1/2,-z+3/4'
'x+1/4,-y+1/2,z+3/4'
'x+1/2,y,z+1/2'
'-x+1/2,-y,-z+1/2'
'-x+3/4,-y+1/4,z+1/2'
'x+3/4,y+1/4,-z+1/2'
'x+1/2,-y+1/4,-z+3/4'
'-x+1/2,y+1/4,z+3/4'
'-x+3/4,y,-z+3/4'
'x+3/4,-y,z+3/4'
'x+1/2,y+1/2,z'
'-x+1/2,-y+1/2,-z'
'-x+3/4,-y+3/4,z'
'x+3/4,y+3/4,-z'
'x+1/2,-y+3/4,-z+1/4'
'-x+1/2,y+3/4,z+1/4'
'-x+3/4,y+1/2,-z+1/4'
'x+3/4,-y+1/2,z+1/4'
loop_
_atom_site_label
_atom_site_type_symbol
_atom_site_fract_x
_atom_site_fract_y
_atom_site_fract_z
Dy1 Dy 0.1250 0.1250 0.0423
Dy2 Dy 0.1250 0.1250 0.3738
Ta1 Ta 0.1250 0.1250 0.5415
N1 N 0.0989 0.3750 0.8750
N2 N 0.1115 0.3635 0.7126



# 3
# Tb6P2S3Cl (PBE, relaxed)
# Fermi-level density of states in states/eV per cell: 9.1
# Total magnetic moment in μB/cell: 0.00
# Raw total energy in eV/cell: -149.06
data_Tb6P2S3Cl
_cell_length_a 17.3068
_cell_length_b 3.9722
_cell_length_c 7.9686
_cell_angle_alpha 90.00
_cell_angle_beta 102.89
_cell_angle_gamma 90.00
_space_group_name_H-M_alt 'C 1 2/m 1'
_space_group_IT_number 12
_space_group_name_Hall '-C 2y'
loop_
_atom_site_label
_atom_site_type_symbol
_atom_site_fract_x
_atom_site_fract_y
_atom_site_fract_z
Tb1 Tb 0.0031 0.0000 0.2761
Tb2 Tb 0.1688 0.5000 0.5797
Tb3 Tb 0.1773 0.5000 0.0956
P1 P 0.1654 0.0000 0.3302
S1 S 0.0000 0.5000 0.5000
S2 S 0.1613 0.0000 0.8349
Cl1 Cl 0.0000 0.5000 0.0000



# 4
# CrTeAs4 (PBE, relaxed)
# Fermi-level density of states in states/eV per cell: 12.6
# Total magnetic moment in μB/cell: 17.15
# Raw total energy in eV/cell: -111.44
data_CrTeAs4
_cell_length_a 8.0005
_cell_length_b 8.0005
_cell_length_c 8.0005
_cell_angle_alpha 90.00
_cell_angle_beta 90.00
_cell_angle_gamma 90.00
_space_group_name_H-M_alt 'F -4 3 m'
_space_group_IT_number 216
_space_group_name_Hall 'F -4 2 3'
loop_
_atom_site_label
_atom_site_type_symbol
_atom_site_fract_x
_atom_site_fract_y
_atom_site_fract_z
Cr1 Cr 0.0000 0.0000 0.0000
Te1 Te 0.2500 0.2500 0.7500
As1 As 0.1279 0.1279 0.3721



# 5
# La2YSi (PBE, relaxed)
# Fermi-level density of states in states/eV per cell: 21.6
# Total magnetic moment in μB/cell: 0.56
# Raw total energy in eV/cell: -66.36
data_La2YSi
_cell_length_a 4.1040
_cell_length_b 4.1040
_cell_length_c 27.9078
_cell_angle_alpha 90.00
_cell_angle_beta 90.00
_cell_angle_gamma 120.00
_space_group_name_H-M_alt 'R -3 m'
_space_group_IT_number 166
_space_group_name_Hall '-R 3 2"'
loop_
_atom_site_label
_atom_site_type_symbol
_atom_site_fract_x
_atom_site_fract_y
_atom_site_fract_z
La1 La 0.0000 0.0000 0.2305
Y1 Y 0.0000 0.0000 0.0000
Si1 Si 0.0000 0.0000 0.5000



# 6
# NdAlGa4Ag2 (PBE, relaxed)
# Fermi-level density of states in states/eV per cell: 8.8
# Total magnetic moment in μB/cell: 0.00
# Raw total energy in eV/cell: -83.59
data_NdAlGa4Ag2
_cell_length_a 4.5808
_cell_length_b 4.5808
_cell_length_c 26.1534
_cell_angle_alpha 90.00
_cell_angle_beta 90.00
_cell_angle_gamma 120.00
_space_group_name_H-M_alt 'R -3 m'
_space_group_IT_number 166
_space_group_name_Hall '-R 3 2"'
loop_
_atom_site_label
_atom_site_type_symbol
_atom_site_fract_x
_atom_site_fract_y
_atom_site_fract_z
Nd1 Nd 0.0000 0.0000 0.0000
Al1 Al 0.0000 0.0000 0.5000
Ga1 Ga 0.0000 0.0000 0.1285
Ga2 Ga 0.0000 0.0000 0.3962
Ag1 Ag 0.0000 0.0000 0.2462



# 7
# Ta2Pt6Rh (PBE, relaxed)
# Fermi-level density of states in states/eV per cell: 10.1
# Total magnetic moment in μB/cell: 0.00
# Raw total energy in eV/cell: -145.92
data_Ta2Pt6Rh
_cell_length_a 12.0793
_cell_length_b 3.9202
_cell_length_c 6.3362
_cell_angle_alpha 90.00
_cell_angle_beta 108.39
_cell_angle_gamma 90.00
_space_group_name_H-M_alt 'C 1 2/m 1'
_space_group_IT_number 12
_space_group_name_Hall '-C 2y'
loop_
_atom_site_label
_atom_site_type_symbol
_atom_site_fract_x
_atom_site_fract_y
_atom_site_fract_z
Ta1 Ta 0.0589 0.0000 0.3202
Pt1 Pt 0.1022 0.5000 0.6657
Pt2 Pt 0.1645 0.0000 0.0040
Pt3 Pt 0.2181 0.5000 0.3384
Rh1 Rh 0.0000 0.5000 0.0000



# 8
# PrEr2Hf (PBE, relaxed)
# Fermi-level density of states in states/eV per cell: 17.1
# Total magnetic moment in μB/cell: 0.00
# Raw total energy in eV/cell: -66.90
data_PrEr2Hf
_cell_length_a 3.3528
_cell_length_b 3.3528
_cell_length_c 36.2551
_cell_angle_alpha 90.00
_cell_angle_beta 90.00
_cell_angle_gamma 120.00
_space_group_name_H-M_alt 'R -3 m'
_space_group_IT_number 166
_space_group_name_Hall '-R 3 2"'
loop_
_atom_site_label
_atom_site_type_symbol
_atom_site_fract_x
_atom_site_fract_y
_atom_site_fract_z
Pr1 Pr 0.0000 0.0000 0.0000
Er1 Er 0.0000 0.0000 0.4149
Hf1 Hf 0.0000 0.0000 0.5000



# 9
# HoCuGe2 (PBE, relaxed)
# Fermi-level density of states in states/eV per cell: 1.6
# Total magnetic moment in μB/cell: 0.00
# Raw total energy in eV/cell: -19.42
data_HoCuGe2
_cell_length_a 4.2268
_cell_length_b 4.2268
_cell_length_c 4.0968
_cell_angle_alpha 90.00
_cell_angle_beta 90.00
_cell_angle_gamma 90.00
_space_group_name_H-M_alt 'P 4/m m m'
_space_group_IT_number 123
_space_group_name_Hall '-P 4 2'
loop_
_atom_site_label
_atom_site_type_symbol
_atom_site_fract_x
_atom_site_fract_y
_atom_site_fract_z
Ho1 Ho 0.0000 0.0000 0.0000
Cu1 Cu 0.5000 0.5000 0.0000
Ge1 Ge 0.0000 0.5000 0.5000



# 10
# TbYRh (PBE, relaxed)
# Fermi-level density of states in states/eV per cell: 18.0
# Total magnetic moment in μB/cell: 0.00
# Raw total energy in eV/cell: -121.92
data_TbYRh
_cell_length_a 14.5186
_cell_length_b 3.8084
_cell_length_c 8.1669
_cell_angle_alpha 90.00
_cell_angle_beta 90.00
_cell_angle_gamma 90.00
_space_group_name_H-M_alt 'P m m a'
_space_group_IT_number 51
_space_group_name_Hall '-P 2a 2a'
loop_
_atom_site_label
_atom_site_type_symbol
_atom_site_fract_x
_atom_site_fract_y
_atom_site_fract_z
Tb1 Tb 0.0415 0.0000 0.1878
Tb2 Tb 0.2500 0.0000 0.8472
Y1 Y 0.1170 0.5000 0.5607
Y2 Y 0.2500 0.5000 0.2004
Rh1 Rh 0.1008 0.5000 0.9299
Rh2 Rh 0.2500 0.0000 0.4625



# 11
# Er4Ru2Pb5 (PBE, relaxed)
# Fermi-level density of states in states/eV per cell: 6.3
# Total magnetic moment in μB/cell: 0.00
# Raw total energy in eV/cell: -59.50
data_Er4Ru2Pb5
_cell_length_a 8.0736
_cell_length_b 3.5533
_cell_length_c 9.8139
_cell_angle_alpha 90.00
_cell_angle_beta 93.09
_cell_angle_gamma 90.00
_space_group_name_H-M_alt 'P 1 2/m 1'
_space_group_IT_number 10
_space_group_name_Hall '-P 2y'
loop_
_atom_site_label
_atom_site_type_symbol
_atom_site_fract_x
_atom_site_fract_y
_atom_site_fract_z
Er1 Er 0.1955 0.0000 0.3408
Er2 Er 0.1968 0.0000 0.9313
Ru1 Ru 0.0865 0.5000 0.1372
Pb1 Pb 0.1415 0.5000 0.6363
Pb2 Pb 0.4551 0.5000 0.1606
Pb3 Pb 0.5000 0.5000 0.5000



# 12
# Nd6Hg8Pb (PBE, relaxed)
# Fermi-level density of states in states/eV per cell: 38.2
# Total magnetic moment in μB/cell: 0.00
# Raw total energy in eV/cell: -119.98
data_Nd6Hg8Pb
_cell_length_a 8.9797
_cell_length_b 8.9797
_cell_length_c 19.5584
_cell_angle_alpha 90.00
_cell_angle_beta 90.00
_cell_angle_gamma 120.00
_space_group_name_H-M_alt 'R -3'
_space_group_IT_number 148
_space_group_name_Hall '-R 3'
loop_
_atom_site_label
_atom_site_type_symbol
_atom_site_fract_x
_atom_site_fract_y
_atom_site_fract_z
Nd1 Nd 0.0156 0.2897 0.0997
Hg1 Hg 0.0000 0.0000 0.1989
Hg2 Hg 0.0139 0.3834 0.9444
Pb1 Pb 0.0000 0.0000 0.5000



# 13
# PmDyMgPt (PBE, relaxed)
# Fermi-level density of states in states/eV per cell: 11.6
# Total magnetic moment in μB/cell: 0.00
# Raw total energy in eV/cell: -76.78
data_PmDyMgPt
_cell_length_a 7.2868
_cell_length_b 7.2868
_cell_length_c 7.2868
_cell_angle_alpha 90.00
_cell_angle_beta 90.00
_cell_angle_gamma 90.00
_space_group_name_H-M_alt 'F -4 3 m'
_space_group_IT_number 216
_space_group_name_Hall 'F -4 2 3'
loop_
_atom_site_label
_atom_site_type_symbol
_atom_site_fract_x
_atom_site_fract_y
_atom_site_fract_z
Pm1 Pm 0.0000 0.0000 0.0000
Dy1 Dy 0.0000 0.0000 0.5000
Mg1 Mg 0.2500 0.2500 0.7500
Pt1 Pt 0.2500 0.2500 0.2500



# 14
# DyScGaGe (PBE, relaxed)
# Fermi-level density of states in states/eV per cell: 12.8
# Total magnetic moment in μB/cell: 0.00
# Raw total energy in eV/cell: -83.17
data_DyScGaGe
_cell_length_a 6.9591
_cell_length_b 6.9591
_cell_length_c 6.9591
_cell_angle_alpha 90.00
_cell_angle_beta 90.00
_cell_angle_gamma 90.00
_space_group_name_H-M_alt 'F -4 3 m'
_space_group_IT_number 216
_space_group_name_Hall 'F -4 2 3'
loop_
_atom_site_label
_atom_site_type_symbol
_atom_site_fract_x
_atom_site_fract_y
_atom_site_fract_z
Dy1 Dy 0.0000 0.0000 0.0000
Sc1 Sc 0.0000 0.0000 0.5000
Ga1 Ga 0.2500 0.2500 0.7500
Ge1 Ge 0.2500 0.2500 0.2500



# 15
# V5GaGe4 (PBE, relaxed)
# Fermi-level density of states in states/eV per cell: 18.6
# Total magnetic moment in μB/cell: 0.00
# Raw total energy in eV/cell: -132.72
data_V5GaGe4
_cell_length_a 7.7654
_cell_length_b 7.7654
_cell_length_c 5.1020
_cell_angle_alpha 90.00
_cell_angle_beta 90.00
_cell_angle_gamma 90.00
_space_group_name_H-M_alt 'I 4'
_space_group_IT_number 79
_space_group_name_Hall 'I 4'
loop_
_atom_site_label
_atom_site_type_symbol
_atom_site_fract_x
_atom_site_fract_y
_atom_site_fract_z
V1 V 0.0000 0.0000 0.0000
V2 V 0.0925 0.2933 0.7598
Ga1 Ga 0.0000 0.0000 0.5150
Ge1 Ge 0.0927 0.2826 0.2542



# 16
# KMg2InPt (PBE, relaxed)
# Fermi-level density of states in states/eV per cell: 1.6
# Total magnetic moment in μB/cell: 0.00
# Raw total energy in eV/cell: -14.83
data_KMg2InPt
_cell_length_a 5.1915
_cell_length_b 5.1915
_cell_length_c 5.2120
_cell_angle_alpha 90.00
_cell_angle_beta 90.00
_cell_angle_gamma 90.00
_space_group_name_H-M_alt 'P 4/m m m'
_space_group_IT_number 123
_space_group_name_Hall '-P 4 2'
loop_
_atom_site_label
_atom_site_type_symbol
_atom_site_fract_x
_atom_site_fract_y
_atom_site_fract_z
K1 K 0.0000 0.0000 0.0000
Mg1 Mg 0.0000 0.5000 0.5000
In1 In 0.5000 0.5000 0.0000
Pt1 Pt 0.5000 0.5000 0.5000



# 17
# RbP2BrCl (PBE, relaxed)
# Fermi-level density of states in states/eV per cell: 3.5
# Total magnetic moment in μB/cell: 0.00
# Raw total energy in eV/cell: -13.53
data_RbP2BrCl
_cell_length_a 4.8204
_cell_length_b 4.8204
_cell_length_c 7.5670
_cell_angle_alpha 90.00
_cell_angle_beta 90.00
_cell_angle_gamma 90.00
_space_group_name_H-M_alt 'P 4/m m m'
_space_group_IT_number 123
_space_group_name_Hall '-P 4 2'
loop_
_atom_site_label
_atom_site_type_symbol
_atom_site_fract_x
_atom_site_fract_y
_atom_site_fract_z
Rb1 Rb 0.0000 0.0000 0.0000
P1 P 0.0000 0.5000 0.5000
Br1 Br 0.5000 0.5000 0.5000
Cl1 Cl 0.5000 0.5000 0.0000



# 18
# Li2CrCo (PBE, relaxed)
# Fermi-level density of states in states/eV per cell: 4.0
# Total magnetic moment in μB/cell: 1.64
# Raw total energy in eV/cell: -19.04
data_Li2CrCo
_cell_length_a 2.3460
_cell_length_b 2.3460
_cell_length_c 8.8275
_cell_angle_alpha 90.00
_cell_angle_beta 90.00
_cell_angle_gamma 90.00
_space_group_name_H-M_alt 'P 4/m m m'
_space_group_IT_number 123
_space_group_name_Hall '-P 4 2'
loop_
_atom_site_label
_atom_site_type_symbol
_atom_site_fract_x
_atom_site_fract_y
_atom_site_fract_z
Li1 Li 0.0000 0.0000 0.2372
Cr1 Cr 0.5000 0.5000 0.5000
Co1 Co 0.5000 0.5000 0.0000



# 19
# Ca3YPu2Te6 (PBE, relaxed)
# Fermi-level density of states in states/eV per cell: 54.9
# Total magnetic moment in μB/cell: 24.69
# Raw total energy in eV/cell: -153.00
data_Ca3YPu2Te6
_cell_length_a 7.7104
_cell_length_b 13.3504
_cell_length_c 7.7977
_cell_angle_alpha 90.00
_cell_angle_beta 109.25
_cell_angle_gamma 90.00
_space_group_name_H-M_alt 'C 1 2/m 1'
_space_group_IT_number 12
_space_group_name_Hall '-C 2y'
loop_
_atom_site_label
_atom_site_type_symbol
_atom_site_fract_x
_atom_site_fract_y
_atom_site_fract_z
Ca1 Ca 0.0000 0.0000 0.0000
Ca2 Ca 0.0000 0.3321 0.0000
Y1 Y 0.0000 0.5000 0.5000
Pu1 Pu 0.0000 0.1663 0.5000
Te1 Te 0.2459 0.5000 0.2511
Te2 Te 0.2472 0.3354 0.7481



# 20
# Pt2SeCl (PBE, relaxed)
# Fermi-level density of states in states/eV per cell: 4.6
# Total magnetic moment in μB/cell: 0.00
# Raw total energy in eV/cell: -15.58
data_Pt2SeCl
_cell_length_a 3.0619
_cell_length_b 4.0492
_cell_length_c 6.2727
_cell_angle_alpha 90.00
_cell_angle_beta 90.00
_cell_angle_gamma 90.00
_space_group_name_H-M_alt 'P m m m'
_space_group_IT_number 47
_space_group_name_Hall '-P 2 2'
loop_
_atom_site_label
_atom_site_type_symbol
_atom_site_fract_x
_atom_site_fract_y
_atom_site_fract_z
Pt1 Pt 0.0000 0.0000 0.0000
Pt2 Pt 0.5000 0.0000 0.5000
Se1 Se 0.0000 0.5000 0.5000
Cl1 Cl 0.5000 0.5000 0.0000